Compound: Y2IrCl
Source: the Alexandria database
Functional: GGA-PBE
Structure: relaxed

abc: 5.1680 5.1680 5.1680
angles: 132.16 111.38 87.95
Last column: nearest neighbours and their distance in Å.
Sites, in units of the cell vectors:
Y  0.2478  0.2478  0.0000  2 Ir 2.79, 2 Cl 2.81
Y  0.7522  0.7522  0.0000  2 Ir 2.79, 2 Cl 2.81
Ir  0.0000  0.5000  0.5000  4 Y 2.79
Cl  0.5000  0.0000  0.5000  4 Y 2.81

Summary:
* relative energy among the computed polymorphs: 1.365 eV/f.u.
* magnetic moment: 0.0 μB per cell
* raw formation energy: -837 meV/atom
* N(E_F): 1.882 states/eV per cell

***

Compound: YIrCl2
Source: the Alexandria database
Functional: GGA-PBE
Structure: relaxed

abc: 7.2691 7.2691 4.3402
angles: 91.77 91.77 29.55
Last column: nearest neighbours and their distance in Å.
Sites, in units of the cell vectors:
Y  0.0000  0.0000  0.0000  4 Cl 2.84, 4 Ir 2.85
Ir  0.5000  0.5000  0.5000  2 Cl 2.34
Cl  0.3606  0.3606  0.7810  1 Ir 2.34
Cl  0.6394  0.6394  0.2190  1 Ir 2.34

Summary:
* relative energy among the computed polymorphs: 0.000 eV/f.u.
* magnetic moment: 0.0 μB per cell
* raw formation energy: -1029 meV/atom

***

Compound: YIrCl2
Source: the Alexandria database
Functional: GGA-PBE
Structure: relaxed

abc: 4.8222 4.8222 4.8222
angles: 60.00 60.00 60.00
Last column: nearest neighbours and their distance in Å.
Sites, in units of the cell vectors:
Y  0.0000  0.0000  0.0000  4 Ir 2.95, 4 Cl 2.95
Ir  0.7500  0.7500  0.7500  4 Cl 2.95, 4 Y 2.95
Cl  0.2500  0.2500  0.2500  4 Cl 2.95, 4 Y 2.95
Cl  0.5000  0.5000  0.5000  4 Cl 2.95, 4 Ir 2.95

Summary:
* relative energy among the computed polymorphs: 3.070 eV/f.u.
* magnetic moment: 0.1 μB per cell
* raw formation energy: -261 meV/atom
* N(E_F): 5.472 states/eV per cell

***

Compound: YIrCl2
Source: the Alexandria database
Functional: GGA-PBE
Structure: relaxed

abc: 3.8008 3.8008 6.4336
angles: 90.00 90.00 90.00
Last column: nearest neighbours and their distance in Å.
Sites, in units of the cell vectors:
Y  0.0000  0.0000  0.0000  5 Cl 2.68-2.99, 4 Ir 2.87
Ir  0.5000  0.5000  0.8447  1 Cl 2.31
Cl  0.0000  0.0000  0.5841  1 Y 2.68
Cl  0.5000  0.5000  0.2042  1 Ir 2.31

Summary:
* relative energy among the computed polymorphs: 1.245 eV/f.u.
* magnetic moment: 0.0 μB per cell
* raw formation energy: -717 meV/atom
* N(E_F): 0.335 states/eV per cell

***

Compound: Y2IrCl
Source: the Alexandria database
Functional: GGA-PBE
Structure: relaxed

abc: 8.0221 8.0221 8.0221
angles: 155.41 152.72 37.05
Last column: nearest neighbours and their distance in Å.
Sites, in units of the cell vectors:
Y  0.0000  0.0000  0.0000  4 Ir 2.85, 2 Cl 3.04
Y  0.7845  0.2845  0.5000  2 Ir 2.75
Ir  0.4158  0.4158  0.0000  6 Y 2.75-2.85
Cl  0.1657  0.6657  0.5000  6 Y 3.04-3.12

Summary:
* relative energy among the computed polymorphs: 0.830 eV/f.u.
* magnetic moment: 0.0 μB per cell
* raw formation energy: -971 meV/atom
* N(E_F): 3.298 states/eV per cell

***

Compound: Y2IrCl
Source: the Alexandria database
Functional: GGA-PBE
Structure: relaxed

abc: 7.8038 7.8038 7.8038
angles: 132.76 132.76 69.02
Last column: nearest neighbours and their distance in Å.
Sites, in units of the cell vectors:
Y  0.1001  0.6250  0.9751  2 Ir 2.65, 2 Cl 2.83
Y  0.3750  0.3501  0.4751  2 Ir 2.65, 2 Cl 2.83
Y  0.6499  0.1250  0.0249  2 Ir 2.65, 2 Cl 2.83
Y  0.8750  0.8999  0.5249  2 Ir 2.65, 2 Cl 2.83
Ir  0.0000  0.0000  0.0000  4 Y 2.65
Ir  0.7500  0.2500  0.5000  4 Y 2.65
Cl  0.2500  0.7500  0.5000  4 Y 2.83
Cl  0.5000  0.5000  0.0000  4 Y 2.83

Summary:
* relative energy among the computed polymorphs: 2.014 eV/f.u.
* magnetic moment: 0.0 μB per cell
* raw formation energy: -675 meV/atom
* N(E_F): 6.950 states/eV per cell

***

Compound: Y2IrCl
Source: the Alexandria database
Functional: GGA-PBE
Structure: relaxed

abc: 5.2060 5.2060 3.2644
angles: 97.62 97.62 91.26
Last column: nearest neighbours and their distance in Å.
Sites, in units of the cell vectors:
Y  0.0000  0.5000  0.0000  2 Cl 2.88, 2 Ir 2.88
Y  0.5000  0.0000  0.0000  2 Cl 2.88, 2 Ir 2.88
Ir  0.0000  0.0000  0.5000  4 Y 2.88
Cl  0.5000  0.5000  0.5000  4 Y 2.88

Summary:
* relative energy among the computed polymorphs: 1.348 eV/f.u.
* magnetic moment: 0.0 μB per cell
* raw formation energy: -841 meV/atom
* N(E_F): 2.883 states/eV per cell

***

Compound: Y2IrCl
Source: the Alexandria database
Functional: GGA-PBE
Structure: relaxed

abc: 7.6997 7.6997 7.6997
angles: 30.35 30.35 30.35
Last column: nearest neighbours and their distance in Å.
Sites, in units of the cell vectors:
Y  0.2335  0.2335  0.2335  3 Ir 2.75
Y  0.7665  0.7665  0.7665  3 Ir 2.75
Ir  0.5000  0.5000  0.5000  6 Y 2.75
Cl  0.0000  0.0000  0.0000  6 Y 3.20

Summary:
* relative energy among the computed polymorphs: 0.000 eV/f.u.
* magnetic moment: 0.0 μB per cell
* raw formation energy: -1178 meV/atom
* N(E_F): 1.407 states/eV per cell

***

Compound: YZr2IrCl
Source: the Alexandria database
Functional: GGA-PBE
Structure: relaxed

abc: 4.7947 4.7947 4.7361
angles: 90.00 90.00 90.00
Last column: nearest neighbours and their distance in Å.
Sites, in units of the cell vectors:
Y  0.0000  0.0000  0.0000  8 Zr 3.37, 4 Ir 3.39
Zr  0.0000  0.5000  0.5000  2 Cl 2.40
Zr  0.5000  0.0000  0.5000  2 Cl 2.40
Ir  0.5000  0.5000  0.0000  2 Cl 2.37
Cl  0.5000  0.5000  0.5000  2 Ir 2.37, 4 Zr 2.40

Summary:
* relative energy among the computed polymorphs: 0.263 eV/f.u.
* magnetic moment: 0.0 μB per cell
* raw formation energy: 22 meV/atom
* N(E_F): 7.009 states/eV per cell

***

Compound: YZr2IrCl
Source: the Alexandria database
Functional: GGA-PBE
Structure: relaxed

abc: 4.7107 4.7107 4.9460
angles: 90.00 90.00 90.00
Last column: nearest neighbours and their distance in Å.
Sites, in units of the cell vectors:
Y  0.0000  0.0000  0.0000  2 Cl 2.47
Zr  0.0000  0.5000  0.5000  2 Cl 2.36
Zr  0.5000  0.0000  0.5000  2 Cl 2.36
Ir  0.5000  0.5000  0.0000  4 Y 3.33, 8 Zr 3.42
Cl  0.0000  0.0000  0.5000  4 Zr 2.36, 2 Y 2.47

Summary:
* relative energy among the computed polymorphs: 0.000 eV/f.u.
* magnetic moment: 0.0 μB per cell
* raw formation energy: -31 meV/atom
* N(E_F): 3.451 states/eV per cell

***

Compound: ZnIrCl
Source: the Alexandria database
Functional: GGA-PBE
Structure: relaxed

abc: 4.2885 4.2885 4.2885
angles: 60.00 60.00 60.00
Last column: nearest neighbours and their distance in Å.
Sites, in units of the cell vectors:
Zn  0.0000  0.0000  0.0000  4 Cl 2.63, 4 Ir 2.63
Ir  0.7500  0.7500  0.7500  4 Zn 2.63
Cl  0.2500  0.2500  0.2500  4 Zn 2.63

Summary:
* relative energy among the computed polymorphs: 2.261 eV/f.u.
* magnetic moment: 0.0 μB per cell
* raw formation energy: 952 meV/atom
* N(E_F): 1.869 states/eV per cell

***

Compound: ZnIr2Cl2
Source: the Alexandria database
Functional: GGA-PBE
Structure: relaxed

abc: 11.1040 11.1040 11.1040
angles: 162.30 162.30 25.13
Last column: nearest neighbours and their distance in Å.
Sites, in units of the cell vectors:
Zn  0.0000  0.0000  0.0000  8 Cl 2.84
Ir  0.2500  0.7500  0.5000  4 Ir 2.42
Ir  0.7500  0.2500  0.5000  4 Ir 2.42
Cl  0.4308  0.4308  0.0000  4 Zn 2.84, 1 Cl 3.00
Cl  0.5692  0.5692  0.0000  4 Zn 2.84, 1 Cl 3.00

Summary:
* relative energy among the computed polymorphs: 0.000 eV/f.u.
* magnetic moment: 0.0 μB per cell
* raw formation energy: 549 meV/atom
* N(E_F): 4.364 states/eV per cell